[1]
MgTiSb3: relaxed, PBE.

Calculated values
Raw formation energy: 0.866 eV/atom
Spin magnetization: 0.0 μB/f.u.
Space-group type: Pm-3m

Unit cell a=5.2714 b=5.2714 c=5.2714 alpha=90.00 beta=90.00 gamma=90.00
Sites, in units of the cell vectors:
Mg1 0.0000 0.0000 0.0000
Ti1 0.5000 0.5000 0.5000
Sb1 0.0000 0.0000 0.5000
Sb2 0.0000 0.5000 0.0000
Sb3 0.5000 0.0000 0.0000

[2]
Zr3Al2Cd: relaxed, PBE.

Calculated values
ΔH_f (0 K): -0.3536 eV/atom
Spin magnetization: 0.0 μB/f.u.
Space-group type: P4/mmm

Unit cell a=3.0364 b=3.0364 c=13.1027 alpha=90.00 beta=90.00 gamma=90.00
Sites, in units of the cell vectors:
Zr1 0.0000 0.0000 0.0000
Zr2 0.0000 0.0000 0.3135
Zr3 0.0000 0.0000 0.6865
Al1 0.5000 0.5000 0.1598
Al2 0.5000 0.5000 0.8402
Cd1 0.5000 0.5000 0.5000

[3]
NdYOsAu: relaxed, PBE.

Calculated values
ΔH_f (0 K): -0.3629 eV/atom
Spin magnetization: 0.0 μB/f.u.
Space-group type: F-43m

Unit cell a=5.0353 b=5.0353 c=5.0353 alpha=60.00 beta=60.00 gamma=60.00
Sites, in units of the cell vectors:
Nd1 0.0000 0.0000 0.0000
Y1 0.5000 0.5000 0.5000
Os1 0.2500 0.2500 0.2500
Au1 0.7500 0.7500 0.7500

[4]
Y2RuSeO: relaxed, PBE.

Calculated values
Raw formation energy: -0.815 eV/atom
Spin magnetization: 0.0 μB/f.u.
Space-group type: P4/mmm

Unit cell a=4.6168 b=4.6168 c=4.4921 alpha=90.00 beta=90.00 gamma=90.00
Sites, in units of the cell vectors:
Y1 0.0000 0.5000 0.0000
Y2 0.5000 0.0000 0.0000
Ru1 0.0000 0.0000 0.5000
Se1 0.5000 0.5000 0.5000
O1 0.5000 0.5000 0.0000

[5]
LaTl2Cd: relaxed, PBE.

Calculated values
ΔH_f (0 K): -0.2204 eV/atom
Spin magnetization: 0.0 μB/f.u.
Space-group type: F-43m

Unit cell a=5.4558 b=5.4558 c=5.4558 alpha=60.00 beta=60.00 gamma=60.00
Sites, in units of the cell vectors:
La1 0.0000 0.0000 0.0000
Tl1 0.2500 0.2500 0.2500
Tl2 0.5000 0.5000 0.5000
Cd1 0.7500 0.7500 0.7500

[6]
ZrPd4: relaxed, PBE.

Calculated values
ΔH_f (0 K): -0.5204 eV/atom
Spin magnetization: 0.0 μB/f.u.
Space-group type: C2/m

Unit cell a=4.4539 b=4.4539 c=5.0900 alpha=109.95 beta=109.95 gamma=63.62
Sites, in units of the cell vectors:
Zr1 0.0000 0.0000 0.0000
Pd1 0.1998 0.1998 0.5978
Pd2 0.4021 0.4021 0.2040
Pd3 0.5979 0.5979 0.7960
Pd4 0.8002 0.8002 0.4022

[7]
Th12Tc6Pb: relaxed, PBE.

Calculated values
ΔH_f (0 K): -0.0662 eV/atom
Spin magnetization: 0.0 μB/f.u.
Space-group type: Im-3

Unit cell a=8.8095 b=8.8095 c=8.8095 alpha=109.47 beta=109.47 gamma=109.47
Sites, in units of the cell vectors:
Th1 0.1216 0.3070 0.8146
Th2 0.1854 0.4923 0.3070
Th3 0.1854 0.8784 0.6930
Th4 0.3070 0.1854 0.4923
Th5 0.3070 0.8146 0.1216
Th6 0.4923 0.3070 0.1854
Th7 0.5077 0.6930 0.8146
Th8 0.6930 0.1854 0.8784
Th9 0.6930 0.8146 0.5077
Th10 0.8146 0.1216 0.3070
Th11 0.8146 0.5077 0.6930
Th12 0.8784 0.6930 0.1854
Tc1 0.1415 0.5000 0.6415
Tc2 0.3585 0.8585 0.5000
Tc3 0.5000 0.3585 0.8585
Tc4 0.5000 0.6415 0.1415
Tc5 0.6415 0.1415 0.5000
Tc6 0.8585 0.5000 0.3585
Pb1 0.0000 0.0000 0.0000

[8]
TcS: relaxed, PBE.

Calculated values
Raw formation energy: -0.180 eV/atom
Spin magnetization: 0.0 μB/f.u.
Space-group type: I-43m

Unit cell a=6.2038 b=6.2038 c=6.2038 alpha=109.47 beta=109.47 gamma=109.47
Sites, in units of the cell vectors:
Tc1 0.0000 0.0000 0.2728
Tc2 0.0000 0.2728 0.0000
Tc3 0.2728 0.0000 0.0000
Tc4 0.7272 0.7272 0.7272
S1 0.0000 0.0000 0.6408
S2 0.0000 0.6408 0.0000
S3 0.3592 0.3592 0.3592
S4 0.6408 0.0000 0.0000

[9]
Sm6Tm8In: relaxed, PBE.

Calculated values
ΔH_f (0 K): 0.0211 eV/atom
Spin magnetization: 0.0 μB/f.u.
Space-group type: R-3

Unit cell a=8.4807 b=8.4807 c=8.4807 alpha=63.99 beta=63.99 gamma=63.99
Sites, in units of the cell vectors:
Sm1 0.0469 0.7298 0.6027
Sm2 0.2702 0.3973 0.9531
Sm3 0.3973 0.9531 0.2702
Sm4 0.6027 0.0469 0.7298
Sm5 0.7298 0.6027 0.0469
Sm6 0.9531 0.2702 0.3973
Tm1 0.0764 0.0764 0.0764
Tm2 0.2165 0.2473 0.6104
Tm3 0.2473 0.6104 0.2165
Tm4 0.3896 0.7835 0.7527
Tm5 0.6104 0.2165 0.2473
Tm6 0.7527 0.3896 0.7835
Tm7 0.7835 0.7527 0.3896
Tm8 0.9236 0.9236 0.9236
In1 0.5000 0.5000 0.5000

[10]
Tm2AlFe: relaxed, PBE.

Calculated values
ΔH_f (0 K): -0.1123 eV/atom
Spin magnetization: 1.1 μB/f.u.
Space-group type: Fm-3m

Unit cell a=4.8917 b=4.8917 c=4.8917 alpha=60.00 beta=60.00 gamma=60.00
Sites, in units of the cell vectors:
Tm1 0.2500 0.2500 0.2500
Tm2 0.7500 0.7500 0.7500
Al1 0.0000 0.0000 0.0000
Fe1 0.5000 0.5000 0.5000

[11]
CePm4Y3: relaxed, PBE.

Calculated values
ΔH_f (0 K): 0.1917 eV/atom
Spin magnetization: 1.0 μB/f.u.
Space-group type: C2/m

Unit cell a=11.9688 b=11.9688 c=6.8855 alpha=106.49 beta=106.49 gamma=16.57
Sites, in units of the cell vectors:
Ce1 0.0000 0.0000 0.0000
Pm1 0.2416 0.2416 0.2388
Pm2 0.3771 0.3771 0.6367
Pm3 0.6229 0.6229 0.3633
Pm4 0.7584 0.7584 0.7612
Y1 0.3765 0.3765 0.1187
Y2 0.5000 0.5000 0.5000
Y3 0.6235 0.6235 0.8813

[12]
LiOs2Br: relaxed, PBE.

Calculated values
Raw formation energy: 0.683 eV/atom
Spin magnetization: 0.0 μB/f.u.
Space-group type: C2/m

Unit cell a=5.9433 b=5.9433 c=3.1069 alpha=105.01 beta=105.01 gamma=129.34
Sites, in units of the cell vectors:
Li1 0.0000 0.0000 0.0000
Os1 0.0000 0.5000 0.0000
Os2 0.5000 0.0000 0.0000
Br1 0.5000 0.5000 0.0000

[13]
PPdPt2: relaxed, PBE.

Calculated values
ΔH_f (0 K): -0.3054 eV/atom
Spin magnetization: 0.0 μB/f.u.
Space-group type: I-42d

Unit cell a=5.5850 b=5.5850 c=5.5850 alpha=102.28 beta=102.28 gamma=125.08
Sites, in units of the cell vectors:
P1 0.0000 0.0000 0.0000
P2 0.7500 0.2500 0.5000
Pd1 0.2500 0.7500 0.5000
Pd2 0.5000 0.5000 0.0000
Pt1 0.0688 0.6250 0.9438
Pt2 0.3750 0.3188 0.4438
Pt3 0.6812 0.1250 0.0562
Pt4 0.8750 0.9312 0.5562

[14]
TbTl3Bi3Se8: relaxed, PBE.

Calculated values
Raw formation energy: -0.641 eV/atom
Spin magnetization: 0.0 μB/f.u.
Space-group type: C2/m

Unit cell a=8.5003 b=8.5003 c=8.9285 alpha=118.32 beta=118.32 gamma=60.05
Sites, in units of the cell vectors:
Tb1 0.0000 0.0000 0.0000
Tl1 0.0000 0.0000 0.5000
Tl2 0.0000 0.5000 0.5000
Tl3 0.5000 0.0000 0.5000
Bi1 0.0000 0.5000 0.0000
Bi2 0.5000 0.0000 0.0000
Bi3 0.5000 0.5000 0.0000
Se1 0.2364 0.7453 0.2186
Se2 0.2366 0.2366 0.2188
Se3 0.2547 0.7636 0.7814
Se4 0.2585 0.2585 0.7752
Se5 0.7415 0.7415 0.2248
Se6 0.7453 0.2364 0.2186
Se7 0.7634 0.7634 0.7812
Se8 0.7636 0.2547 0.7814

[15]
Tl3RhSe: relaxed, PBE.

Calculated values
Raw formation energy: 0.883 eV/atom
Spin magnetization: 1.3 μB/f.u.
Space-group type: Pm-3m

Unit cell a=5.7295 b=5.7295 c=5.7295 alpha=90.00 beta=90.00 gamma=90.00
Sites, in units of the cell vectors:
Tl1 0.0000 0.0000 0.5000
Tl2 0.0000 0.5000 0.0000
Tl3 0.5000 0.0000 0.0000
Rh1 0.5000 0.5000 0.5000
Se1 0.0000 0.0000 0.0000

[16]
Rb4Nd3AlS8: relaxed, PBE.

Calculated values
Raw formation energy: -1.577 eV/atom
Spin magnetization: 0.0 μB/f.u.
Space-group type: R-3m

Unit cell a=9.0476 b=9.0476 c=9.0476 alpha=53.98 beta=53.98 gamma=53.98
Sites, in units of the cell vectors:
Rb1 0.0000 0.0000 0.0000
Rb2 0.0000 0.5000 0.5000
Rb3 0.5000 0.0000 0.5000
Rb4 0.5000 0.5000 0.0000
Nd1 0.0000 0.0000 0.5000
Nd2 0.0000 0.5000 0.0000
Nd3 0.5000 0.0000 0.0000
Al1 0.5000 0.5000 0.5000
S1 0.2337 0.2337 0.2337
S2 0.2585 0.7139 0.7139
S3 0.2861 0.2861 0.7415
S4 0.2861 0.7415 0.2861
S5 0.7139 0.2585 0.7139
S6 0.7139 0.7139 0.2585
S7 0.7415 0.2861 0.2861
S8 0.7663 0.7663 0.7663

[17]
KRbHf2: relaxed, PBE.

Calculated values
ΔH_f (0 K): 1.8413 eV/atom
Spin magnetization: 0.0 μB/f.u.
Space-group type: Fm-3m

Unit cell a=5.7349 b=5.7349 c=5.7349 alpha=60.00 beta=60.00 gamma=60.00
Sites, in units of the cell vectors:
K1 0.0000 0.0000 0.0000
Rb1 0.5000 0.5000 0.5000
Hf1 0.2500 0.2500 0.2500
Hf2 0.7500 0.7500 0.7500

[18]
Ac5SbTe4: relaxed, PBE.

Calculated values
Raw formation energy: -1.460 eV/atom
Spin magnetization: 0.0 μB/f.u.
Space-group type: I4/m

Unit cell a=8.2203 b=8.2203 c=8.2203 alpha=99.59 beta=99.59 gamma=131.81
Sites, in units of the cell vectors:
Ac1 0.0000 0.0000 0.0000
Ac2 0.2051 0.5997 0.8048
Ac3 0.4003 0.2051 0.6053
Ac4 0.5997 0.7949 0.3947
Ac5 0.7949 0.4003 0.1952
Sb1 0.5000 0.5000 0.0000
Te1 0.0984 0.3014 0.3998
Te2 0.3014 0.9016 0.2030
Te3 0.6986 0.0984 0.7970
Te4 0.9016 0.6986 0.6002

[19]
TmAlCuAu: relaxed, PBE.

Calculated values
ΔH_f (0 K): -0.5479 eV/atom
Spin magnetization: 0.0 μB/f.u.
Space-group type: F-43m

Unit cell a=4.6680 b=4.6680 c=4.6680 alpha=60.00 beta=60.00 gamma=60.00
Sites, in units of the cell vectors:
Tm1 0.0000 0.0000 0.0000
Al1 0.5000 0.5000 0.5000
Cu1 0.7500 0.7500 0.7500
Au1 0.2500 0.2500 0.2500

[20]
Tm5Tl4Pt2: relaxed, PBE.

Calculated values
ΔH_f (0 K): -0.7001 eV/atom
Spin magnetization: 0.0 μB/f.u.
Space-group type: Pbam

Unit cell a=8.1266 b=18.2062 c=3.6227 alpha=90.00 beta=90.00 gamma=90.00
Sites, in units of the cell vectors:
Tm1 0.0000 0.0000 0.0000
Tm2 0.1116 0.4123 0.0000
Tm3 0.2460 0.2194 0.0000
Tm4 0.2540 0.7194 0.0000
Tm5 0.3884 0.9123 0.0000
Tm6 0.5000 0.5000 0.0000
Tm7 0.6116 0.0877 0.0000
Tm8 0.7460 0.2806 0.0000
Tm9 0.7540 0.7806 0.0000
Tm10 0.8884 0.5877 0.0000
Tl1 0.0793 0.8548 0.5000
Tl2 0.2084 0.5630 0.5000
Tl3 0.2916 0.0630 0.5000
Tl4 0.4207 0.3548 0.5000
Tl5 0.5793 0.6452 0.5000
Tl6 0.7084 0.9370 0.5000
Tl7 0.7916 0.4370 0.5000
Tl8 0.9207 0.1452 0.5000
Pt1 0.0290 0.3019 0.5000
Pt2 0.4710 0.8019 0.5000
Pt3 0.5290 0.1981 0.5000
Pt4 0.9710 0.6981 0.5000